[1]
# MnTlSe2 GGA-PBE optimized geometry
data_MnTlSe2
_symmetry_space_group_name_H-M 'P n a 21'
_symmetry_Int_Tables_number 33
_cell_length_a 6.701
_cell_length_b 10.021
_cell_length_c 6.493
_cell_angle_alpha 90.00
_cell_angle_beta 90.00
_cell_angle_gamma 90.00
loop_
_symmetry_equiv_pos_as_xyz
'x,y,z'
'-x,-y,z+1/2'
'-x+1/2,y+1/2,z+1/2'
'x+1/2,-y+1/2,z'
loop_
_atom_site_label
_atom_site_type_symbol
_atom_site_fract_x
_atom_site_fract_y
_atom_site_fract_z
Mn1 Mn 0.056 0.127 0.000
Tl1 Tl 0.008 0.619 0.088
Se1 Se 0.019 0.065 0.666
Se2 Se 0.129 0.692 0.590
# - Formation energy from raw total energies: -0.1527 eV per atom
# - Total DFT energy (no corrections): -4.78 eV/atom
# - ρ: 6.4 g/cm3
# - Magnetic moment: 0.0 μB/f.u.

***

[2]
# MnTlSe2 GGA-PBE optimized geometry
data_MnTlSe2
_symmetry_space_group_name_H-M 'P 1'
_symmetry_Int_Tables_number 1
_cell_length_a 3.402
_cell_length_b 5.711
_cell_length_c 9.505
_cell_angle_alpha 79.76
_cell_angle_beta 81.84
_cell_angle_gamma 89.99
loop_
_symmetry_equiv_pos_as_xyz
'x,y,z'
loop_
_atom_site_label
_atom_site_type_symbol
_atom_site_fract_x
_atom_site_fract_y
_atom_site_fract_z
Mn1 Mn 0.000 0.000 0.000
Mn2 Mn 0.496 0.612 0.011
Tl1 Tl 0.257 0.060 0.466
Tl2 Tl 0.720 0.535 0.557
Se1 Se 0.051 0.430 0.871
Se2 Se 0.446 0.183 0.135
Se3 Se 0.569 0.946 0.826
Se4 Se 0.927 0.668 0.183
# - Formation energy from raw total energies: -0.3247 eV per atom
# - Total DFT energy (no corrections): -4.95 eV/atom
# - ρ: 7.7 g/cm3
# - Magnetic moment: 1.1 μB/f.u.

***

[3]
# MnTlSe2 GGA-PBE optimized geometry
data_MnTlSe2
_symmetry_space_group_name_H-M 'C 1 2/m 1'
_symmetry_Int_Tables_number 12
_cell_length_a 7.976
_cell_length_b 7.624
_cell_length_c 4.178
_cell_angle_alpha 90.00
_cell_angle_beta 118.74
_cell_angle_gamma 90.00
loop_
_symmetry_equiv_pos_as_xyz
'x,y,z'
'-x,-y,-z'
'-x,y,-z'
'x,-y,z'
'x+1/2,y+1/2,z'
'-x+1/2,-y+1/2,-z'
'-x+1/2,y+1/2,-z'
'x+1/2,-y+1/2,z'
loop_
_atom_site_label
_atom_site_type_symbol
_atom_site_fract_x
_atom_site_fract_y
_atom_site_fract_z
Mn1 Mn 0.000 0.000 0.000
Tl1 Tl 0.000 0.500 0.000
Se1 Se 0.250 0.250 0.000
# - Formation energy from raw total energies: 0.0218 eV per atom
# - Total DFT energy (no corrections): -4.60 eV/atom
# - ρ: 6.2 g/cm3
# - Magnetic moment: 4.9 μB/f.u.

***

[4]
# MnTlSe2 GGA-PBE optimized geometry
data_MnTlSe2
_symmetry_space_group_name_H-M 'P 1'
_symmetry_Int_Tables_number 1
_cell_length_a 3.409
_cell_length_b 5.764
_cell_length_c 9.171
_cell_angle_alpha 77.25
_cell_angle_beta 89.99
_cell_angle_gamma 90.00
loop_
_symmetry_equiv_pos_as_xyz
'x,y,z'
loop_
_atom_site_label
_atom_site_type_symbol
_atom_site_fract_x
_atom_site_fract_y
_atom_site_fract_z
Mn1 Mn 0.000 0.000 0.000
Mn2 Mn 0.500 0.391 0.990
Tl1 Tl 0.002 0.933 0.535
Tl2 Tl 0.502 0.457 0.455
Se1 Se 0.000 0.347 0.811
Se2 Se 0.000 0.564 0.132
Se3 Se 0.500 0.044 0.179
Se4 Se 0.500 0.827 0.858
# - Formation energy from raw total energies: -0.3242 eV per atom
# - Total DFT energy (no corrections): -4.95 eV/atom
# - ρ: 7.9 g/cm3
# - Magnetic moment: 1.3 μB/f.u.

***

[5]
# MnTlSe2 GGA-PBE optimized geometry
data_MnTlSe2
_symmetry_space_group_name_H-M 'I -4 m 2'
_symmetry_Int_Tables_number 119
_symmetry_space_group_name_Hall 'I -4 -2'
_cell_length_a 3.896
_cell_length_b 3.896
_cell_length_c 14.980
_cell_angle_alpha 90.00
_cell_angle_beta 90.00
_cell_angle_gamma 90.00
loop_
_atom_site_label
_atom_site_type_symbol
_atom_site_fract_x
_atom_site_fract_y
_atom_site_fract_z
Mn1 Mn 0.000 0.000 0.000
Tl1 Tl 0.000 0.500 0.250
Se1 Se 0.000 0.000 0.500
Se2 Se 0.000 0.500 0.750
# - Formation energy from raw total energies: 0.0222 eV per atom
# - Total DFT energy (no corrections): -4.60 eV/atom
# - ρ: 6.1 g/cm3
# - Magnetic moment: 5.0 μB/f.u.

***

[6]
# MnTlSe2 GGA-PBE optimized geometry
data_MnTlSe2
_symmetry_space_group_name_H-M 'P m m m'
_symmetry_Int_Tables_number 47
_cell_length_a 3.831
_cell_length_b 3.967
_cell_length_c 7.447
_cell_angle_alpha 90.00
_cell_angle_beta 90.00
_cell_angle_gamma 90.00
loop_
_symmetry_equiv_pos_as_xyz
'x,y,z'
'-x,-y,-z'
'-x,-y,z'
'x,y,-z'
'x,-y,-z'
'-x,y,z'
'-x,y,-z'
'x,-y,z'
loop_
_atom_site_label
_atom_site_type_symbol
_atom_site_fract_x
_atom_site_fract_y
_atom_site_fract_z
Mn1 Mn 0.000 0.000 0.000
Tl1 Tl 0.000 0.500 0.500
Se1 Se 0.500 0.000 0.500
Se2 Se 0.500 0.500 0.000
# - Formation energy from raw total energies: 0.0214 eV per atom
# - Total DFT energy (no corrections): -4.60 eV/atom
# - ρ: 6.1 g/cm3
# - Magnetic moment: 4.9 μB/f.u.